! V3Rh2C | the Alexandria database | GGA-PBE | relaxed; values from VASP
&SYSTEM
  ibrav = 0, nat = 12, ntyp = 3
/
ATOMIC_SPECIES
V 50.94 V.upf
Rh 102.91 Rh.upf
C 12.01 C.upf
ATOMIC_POSITIONS angstrom
V -3.2825 -0.8280 -0.8336
Rh -3.4087 -2.6186 0.8640
Rh 2.9242 -3.8122 -2.1539
Rh -5.4505 -1.9886 -0.8532
V 2.0194 -2.0724 -0.6700
V -1.7025 -3.6684 -3.7395
V -0.8238 -2.1324 0.7324
C 0.0562 -3.2717 -0.7872
Rh 0.8823 -3.1822 -3.8711
V -0.5814 -1.9329 -2.0733
V -1.9449 -3.8679 -0.9339
C -2.5825 -2.5292 -2.2199
CELL_PARAMETERS angstrom
-1.9575 0.8593 -4.4475
4.0388 -4.1449 -1.3400
-4.6076 -2.5153 2.7804
! - Total magnetization: 0.0 μB per formula unit
! - D(E_F): 11.75 states/eV per cell
! - Uncorrected energy: -8.66 eV per atom
! - Mass density: 7.95 Mg/m³
! - ΔH_f (0 K): -0.11 eV per atom

***

! Na5TcO5 | the Alexandria database | GGA-PBE | relaxed; values from VASP
&SYSTEM
  ibrav = 0, nat = 11, ntyp = 3
/
ATOMIC_SPECIES
Na 22.99 Na.upf
O 16.00 O.upf
Tc 98.00 Tc.upf
ATOMIC_POSITIONS angstrom
Na -3.1641 -0.7377 0.3751
Na -2.0311 2.4402 -0.4300
Na -1.4142 -0.9226 2.8318
O -3.7772 3.4690 0.4772
O -1.3647 -1.3325 -1.1157
Na -5.3143 1.9730 -0.2322
O -1.5459 0.7076 1.0459
Na -3.5643 1.7880 2.2245
O -5.1825 0.3428 1.5536
Tc 0.0000 0.0000 0.0000
O -2.9513 -2.4187 2.1224
CELL_PARAMETERS angstrom
-2.7294 -2.6649 -2.2313
0.0632 -1.1652 5.6908
-4.0622 4.8805 -0.8599
! - Total magnetization: 2.0 μB per formula unit
! - E_form (uncorrected): -1421 meV per atom
! - D(E_F): 3.28 states/eV per cell
! - Uncorrected energy: -5.22 eV per atom
! - Mass density: 3.37 Mg/m³

***

! PuUTc | the Alexandria database | GGA-PBE | relaxed; values from VASP
&SYSTEM
  ibrav = 0, nat = 6, ntyp = 3
/
ATOMIC_SPECIES
U 238.03 U.upf
Pu 244.00 Pu.upf
Tc 98.00 Tc.upf
ATOMIC_POSITIONS angstrom
U 5.5779 5.0584 2.4227
Pu 4.6871 2.4382 0.7036
Pu 2.8833 4.4272 0.7036
U 3.1926 2.8953 3.5993
Tc 7.1415 6.4763 4.2261
Tc 1.6291 1.4774 1.7959
CELL_PARAMETERS angstrom
5.5979 1.4338 0.7036
1.9725 5.4315 0.7036
1.2002 1.0884 4.6148
! - Total magnetization: 6.1 μB per formula unit
! - Distance to the lowest polymorph of the same formula: 0.153 eV per atom
! - D(E_F): 13.47 states/eV per cell
! - Uncorrected energy: -11.91 eV per atom
! - Mass density: 15.91 Mg/m³
! - ΔH_f (0 K): 0.08 eV per atom

***

! Dy2CCl2 | the Alexandria database | GGA-PBE | relaxed; values from VASP
&SYSTEM
  ibrav = 0, nat = 5, ntyp = 3
/
ATOMIC_SPECIES
Dy 162.50 Dy.upf
Cl 35.45 Cl.upf
C 12.01 C.upf
ATOMIC_POSITIONS angstrom
Dy -2.0950 6.4319 7.1289
Cl -0.5074 4.6688 5.6449
Cl -5.2448 3.9920 2.5942
Dy -3.6573 2.2289 1.1102
C 0.0000 0.0000 0.0000
CELL_PARAMETERS angstrom
-2.4532 2.4633 -1.0834
-3.4627 -0.2768 1.0921
0.1637 6.4743 8.2304
! - Total magnetization: 0.0 μB per formula unit
! - E_form (uncorrected): -1411 meV per atom
! - Uncorrected energy: -5.84 eV per atom
! - Mass density: 5.75 Mg/m³

***

! Mg2PIr2 | the Alexandria database | GGA-PBE | relaxed; values from VASP
&SYSTEM
  ibrav = 0, nat = 10, ntyp = 3
/
ATOMIC_SPECIES
Ir 192.22 Ir.upf
Mg 24.30 Mg.upf
P 30.97 P.upf
ATOMIC_POSITIONS angstrom
Ir 4.0066 0.9502 0.0000
Mg 2.0623 0.9942 2.1939
Mg 5.1187 2.0623 2.1939
P 0.0000 0.0000 0.0000
Ir 5.1627 4.0066 0.0000
Mg 0.9942 4.0506 2.1939
Mg 4.0506 5.1187 2.1939
P 3.0564 3.0564 0.0000
Ir 2.1063 5.1627 0.0000
Ir 0.9502 2.1063 0.0000
CELL_PARAMETERS angstrom
6.1129 0.0000 0.0000
0.0000 6.1129 0.0000
0.0000 0.0000 4.3878
! - Total magnetization: 0.0 μB per formula unit
! - D(E_F): 5.26 states/eV per cell
! - Uncorrected energy: -5.70 eV per atom
! - Mass density: 9.40 Mg/m³
! - ΔH_f (0 K): -0.43 eV per atom

***

! Pr5Nd8Pb | the Alexandria database | GGA-PBE | relaxed; values from VASP
&SYSTEM
  ibrav = 0, nat = 14, ntyp = 3
/
ATOMIC_SPECIES
Pb 207.20 Pb.upf
Nd 144.24 Nd.upf
Pr 140.91 Pr.upf
ATOMIC_POSITIONS angstrom
Pb 4.4349 -1.2122 -0.5057
Nd 3.4682 -3.3156 -3.0115
Nd 2.0125 -3.3111 0.3773
Pr 1.6154 -1.2593 3.7586
Pr 1.2297 -6.9189 0.5168
Nd 5.3817 -0.3482 2.6918
Pr 1.9435 0.6781 1.0762
Nd -1.5737 -8.1469 -1.7887
Nd -0.1072 -4.8312 2.8746
Nd 7.2186 0.6052 -0.5482
Nd 4.2133 -5.8646 -1.0128
Pr -2.6267 -7.5355 1.9677
Nd 1.2506 -3.9214 5.7687
Pr -0.4136 -7.3975 -5.4734
CELL_PARAMETERS angstrom
-4.0398 -6.8676 4.2926
0.4136 -5.8492 -6.9946
7.2589 4.3582 3.1974
! - Total magnetization: 0.0 μB per formula unit
! - D(E_F): 22.68 states/eV per cell
! - Uncorrected energy: -4.63 eV per atom
! - Mass density: 6.86 Mg/m³
! - ΔH_f (0 K): 0.07 eV per atom

***

! NaCe4Te6 | the Alexandria database | GGA-PBE | relaxed; values from VASP
&SYSTEM
  ibrav = 0, nat = 22, ntyp = 3
/
ATOMIC_SPECIES
Na 22.99 Na.upf
Te 127.60 Te.upf
Ce 140.12 Ce.upf
ATOMIC_POSITIONS angstrom
Na 0.8454 -6.4394 4.1667
Te -1.1659 -5.8790 -1.0658
Te -2.0671 -6.1737 3.5150
Te 5.5779 -3.6896 5.5012
Te 2.0550 -1.7134 1.3490
Ce -2.1613 -8.7489 5.7141
Ce -1.6037 -4.1455 5.9170
Ce 2.8614 -4.4748 7.1407
Te -0.3641 -11.1655 6.9845
Te 1.5310 -6.3608 1.2509
Ce -1.1706 -8.4041 1.1927
Te 2.8567 -6.9998 9.3992
Ce -0.6129 -3.8007 1.3956
Ce 3.8522 -4.1299 2.6194
Te 1.0569 -3.4546 4.3229
Ce 3.2945 -8.7333 2.4165
Ce 2.3038 -9.0782 6.9378
Te 3.7580 -6.7052 4.8184
Na 0.0000 0.0000 0.0000
Te 0.1598 -6.5180 7.0826
Te 0.6339 -9.4243 4.0106
Te -3.8870 -9.1893 2.8323
CELL_PARAMETERS angstrom
-1.8943 -8.1873 -2.8319
7.6380 -2.8399 3.4982
-4.0528 -1.8516 7.6672
! - Total magnetization: 5.0 μB per formula unit
! - E_form (uncorrected): -1234 meV per atom
! - D(E_F): 61.46 states/eV per cell
! - Uncorrected energy: -5.23 eV per atom
! - Mass density: 6.43 Mg/m³

***

! NaLi2TaO4 | the Alexandria database | GGA-PBE | relaxed; values from VASP
&SYSTEM
  ibrav = 0, nat = 8, ntyp = 4
/
ATOMIC_SPECIES
Li 6.94 Li.upf
O 16.00 O.upf
Ta 180.95 Ta.upf
Na 22.99 Na.upf
ATOMIC_POSITIONS angstrom
Li 7.7333 4.2461 3.9112
O 4.0602 4.3488 2.5167
O 6.2509 2.8646 4.1280
Ta 5.1555 2.8308 2.6076
O 4.0601 1.3128 2.6985
O 6.2509 2.7971 1.0873
Na 5.1556 5.6616 5.2151
Li 2.5778 1.4156 1.3040
CELL_PARAMETERS angstrom
5.1555 0.0001 0.0001
2.5778 4.5771 0.7118
2.5778 1.0845 4.5034
! - Total magnetization: 0.0 μB per formula unit
! - E_form (uncorrected): -2391 meV per atom
! - D(E_F): 0.00 states/eV per cell
! - Uncorrected energy: -7.00 eV per atom
! - Mass density: 4.58 Mg/m³

***

! V4FeIr5 | the Alexandria database | GGA-PBE | relaxed; values from VASP
&SYSTEM
  ibrav = 0, nat = 10, ntyp = 3
/
ATOMIC_SPECIES
Fe 55.84 Fe.upf
Ir 192.22 Ir.upf
V 50.94 V.upf
ATOMIC_POSITIONS angstrom
Fe 0.0000 0.0000 0.0000
Ir 5.7903 -2.3686 11.3801
V 3.6077 -0.2948 6.3582
Ir 7.5938 -2.5160 14.5586
Ir 3.9744 -2.2203 8.1797
V 7.2418 -0.5917 12.7630
V 5.4236 -0.4431 9.5585
Ir 2.1584 -2.0719 4.9793
V 1.7895 -0.1462 3.1538
Ir 0.3549 -1.9245 1.8007
CELL_PARAMETERS angstrom
-2.1412 -1.2718 1.1560
1.0587 -2.4309 -0.7134
9.0313 -0.7379 15.9168
! - Total magnetization: 3.4 μB per formula unit
! - D(E_F): 12.28 states/eV per cell
! - Uncorrected energy: -9.34 eV per atom
! - Mass density: 14.68 Mg/m³
! - ΔH_f (0 K): -0.41 eV per atom

***

! Ho6Er5In | the Alexandria database | GGA-PBE | relaxed; values from VASP
&SYSTEM
  ibrav = 0, nat = 12, ntyp = 3
/
ATOMIC_SPECIES
Ho 164.93 Ho.upf
Er 167.26 Er.upf
In 114.82 In.upf
ATOMIC_POSITIONS angstrom
Ho -0.8947 5.7717 5.2189
Ho 2.8036 1.8639 0.6937
Er 2.1254 0.6976 6.6078
Ho 2.0259 4.1832 6.2864
Er -0.2165 6.9381 -0.6952
Ho 1.0590 0.3183 3.2939
Er 0.9544 3.8178 2.9563
Er 2.7168 5.3461 0.4142
Er -0.8079 2.2895 5.4984
Ho -0.1171 3.4524 -0.3738
In 0.0000 0.0000 0.0000
Ho 0.8499 7.3173 2.6187
CELL_PARAMETERS angstrom
4.6732 -0.0043 -1.5022
-3.1411 8.5072 -1.7779
0.3768 -0.8673 9.1928
! - Total magnetization: 0.0 μB per formula unit
! - D(E_F): 17.15 states/eV per cell
! - Uncorrected energy: -4.47 eV per atom
! - Mass density: 8.98 Mg/m³
! - ΔH_f (0 K): -0.05 eV per atom

***

! Hf3TlCr | the Alexandria database | GGA-PBE | relaxed; values from VASP
&SYSTEM
  ibrav = 0, nat = 5, ntyp = 3
/
ATOMIC_SPECIES
Tl 204.38 Tl.upf
Hf 178.49 Hf.upf
Cr 52.00 Cr.upf
ATOMIC_POSITIONS angstrom
Tl -3.0304 -1.9707 2.1395
Hf -2.2125 0.8919 0.4368
Cr 0.0000 0.0000 0.0000
Hf -0.9798 -2.1344 -0.6048
Hf 0.1620 -0.7283 2.3076
CELL_PARAMETERS angstrom
-1.9597 -4.2687 -1.2097
0.3239 -1.4566 4.6151
-4.4250 1.7839 0.8736
! - Total magnetization: 0.0 μB per formula unit
! - Distance to the lowest polymorph of the same formula: 0.000 eV per atom
! - D(E_F): 8.87 states/eV per cell
! - Uncorrected energy: -7.80 eV per atom
! - Mass density: 11.52 Mg/m³
! - ΔH_f (0 K): 0.57 eV per atom

***

! Tm5GaS5 | the Alexandria database | GGA-PBE | relaxed; values from VASP
&SYSTEM
  ibrav = 0, nat = 11, ntyp = 3
/
ATOMIC_SPECIES
Tm 168.93 Tm.upf
S 32.06 S.upf
Ga 69.72 Ga.upf
ATOMIC_POSITIONS angstrom
Tm 2.7514 4.0779 3.7150
Tm 0.0000 2.1237 5.7393
Tm 0.0000 2.0305 1.9168
S 0.0000 3.9907 3.7831
Ga 0.0000 0.0000 0.0000
Tm 2.7514 0.0000 0.0000
S 2.7514 2.2633 5.8269
S 0.0000 3.8451 -0.1951
Tm 2.7515 3.9847 -0.1075
S 0.0000 0.1520 3.9118
S 2.7514 2.1177 1.8487
CELL_PARAMETERS angstrom
5.5029 0.0000 0.0000
-2.7514 5.8045 -2.1919
0.0000 0.3039 7.8237
! - Total magnetization: 0.0 μB per formula unit
! - E_form (uncorrected): -1750 meV per atom
! - D(E_F): 2.25 states/eV per cell
! - Uncorrected energy: -5.93 eV per atom
! - Mass density: 7.04 Mg/m³

***

! Pm3Sm2Ho6Pu | the Alexandria database | GGA-PBE | relaxed; values from VASP
&SYSTEM
  ibrav = 0, nat = 12, ntyp = 4
/
ATOMIC_SPECIES
Ho 164.93 Ho.upf
Sm 150.36 Sm.upf
Pm 145.00 Pm.upf
Pu 244.00 Pu.upf
ATOMIC_POSITIONS angstrom
Ho 2.0770 3.5962 2.8363
Sm 0.0004 3.5678 -0.0093
Ho 0.0402 3.5894 8.6765
Pm 1.0377 1.7968 5.7603
Pm 4.1250 0.0138 5.7603
Pu 0.0000 0.0000 0.0000
Ho 3.0890 1.8286 8.6765
Ho 2.0353 0.0043 2.8442
Ho -0.0015 -0.0025 8.6843
Pm -2.0495 3.5799 5.7603
Sm 3.0901 1.7834 -0.0093
Ho -1.0135 1.7651 2.8442
CELL_PARAMETERS angstrom
6.1823 -0.0025 -0.0093
-3.0918 5.3537 -0.0093
-1.0151 -1.7576 11.5393
! - Total magnetization: 6.4 μB per formula unit
! - D(E_F): 22.84 states/eV per cell
! - Uncorrected energy: -5.42 eV per atom
! - Mass density: 8.57 Mg/m³
! - ΔH_f (0 K): 0.04 eV per atom

***

! GaFeCl3 | the Alexandria database | GGA-PBE | relaxed; values from VASP
&SYSTEM
  ibrav = 0, nat = 5, ntyp = 3
/
ATOMIC_SPECIES
Cl 35.45 Cl.upf
Fe 55.84 Fe.upf
Ga 69.72 Ga.upf
ATOMIC_POSITIONS angstrom
Cl 0.0000 0.0000 2.3673
Cl 2.3673 0.0000 0.0000
Fe 2.3673 2.3673 2.3673
Cl 0.0000 2.3673 0.0000
Ga 0.0000 0.0000 0.0000
CELL_PARAMETERS angstrom
4.7345 0.0000 0.0000
0.0000 4.7345 0.0000
0.0000 0.0000 4.7345
! - Total magnetization: 4.0 μB per formula unit
! - Distance to the lowest polymorph of the same formula: 0.680 eV per atom
! - E_form (uncorrected): 92 meV per atom
! - D(E_F): 11.33 states/eV per cell
! - Uncorrected energy: -3.31 eV per atom
! - Mass density: 3.63 Mg/m³

***

! Li2AlTl | the Alexandria database | GGA-PBE | relaxed; values from VASP
&SYSTEM
  ibrav = 0, nat = 4, ntyp = 3
/
ATOMIC_SPECIES
Tl 204.38 Tl.upf
Al 26.98 Al.upf
Li 6.94 Li.upf
ATOMIC_POSITIONS angstrom
Tl 2.5381 -0.0735 1.5026
Al 0.7908 2.3983 1.5243
Li 3.3165 2.3445 0.0000
Li 6.6300 4.6868 0.0000
CELL_PARAMETERS angstrom
5.0628 -0.1280 -0.0217
1.5682 4.8155 0.0217
-3.3021 -2.3627 3.0269
! - Total magnetization: 0.0 μB per formula unit
! - D(E_F): 1.40 states/eV per cell
! - Uncorrected energy: -2.59 eV per atom
! - Mass density: 5.47 Mg/m³
! - ΔH_f (0 K): -0.11 eV per atom

***

! Pr8P6Se | the Alexandria database | GGA-PBE | relaxed; values from VASP
&SYSTEM
  ibrav = 0, nat = 15, ntyp = 3
/
ATOMIC_SPECIES
Pr 140.91 Pr.upf
P 30.97 P.upf
Se 78.96 Se.upf
ATOMIC_POSITIONS angstrom
Pr 1.1225 0.3079 7.1941
P 3.2869 4.4223 1.1105
P 3.2869 6.0911 -2.0740
Pr 3.2243 6.3842 3.3304
P 1.0599 4.8417 4.2381
Pr 3.2509 3.0880 5.3486
Pr 3.2243 8.9561 -1.8455
Pr 1.0959 6.1760 0.0000
P 3.2869 8.0145 0.9635
Pr 1.1225 2.8798 2.0182
Se 2.1734 0.0000 0.0000
Pr 1.1225 6.0763 6.8334
P 1.0599 3.1729 7.4225
P 1.0599 1.2495 4.3851
Pr 3.2243 3.1877 -1.4849
CELL_PARAMETERS angstrom
4.3468 0.0000 0.0000
0.0000 9.2640 -5.3486
0.0000 0.0000 10.6971
! - Total magnetization: 0.0 μB per formula unit
! - E_form (uncorrected): -1240 meV per atom
! - D(E_F): 9.78 states/eV per cell
! - Uncorrected energy: -6.19 eV per atom
! - Mass density: 5.37 Mg/m³